Density functional theory data (SCAN) for a PBEsol-optimized structure of ZrScSe2.

Output
N(E_F)	0.403	states/eV per atom
energy above the most stable polymorph in this dataset	0.0	meV per atom

Structure (CIF):
```
data_ZrScSe2
_cell_length_a 3.542
_cell_length_b 3.569
_cell_length_c 12.418
_cell_angle_alpha 90.00
_cell_angle_beta 90.00
_cell_angle_gamma 90.00
_symmetry_space_group_name_H-M 'I m m 2'
_symmetry_Int_Tables_number 44
loop_
_symmetry_equiv_pos_as_xyz
'x,y,z'
'-x,-y,z'
'-x,y,z'
'x,-y,z'
'x+1/2,y+1/2,z+1/2'
'-x+1/2,-y+1/2,z+1/2'
'-x+1/2,y+1/2,z+1/2'
'x+1/2,-y+1/2,z+1/2'
loop_
_atom_site_label
_atom_site_fract_x
_atom_site_fract_y
_atom_site_fract_z
Zr1 0.000 0.000 0.000
Sc1 0.000 0.500 0.744
Se1 0.000 0.000 0.411
Se2 0.000 0.500 0.163
```